No. 1
Material: Pm5HoEr4
Method: DFT, GGA-PBE
State: optimized geometry

The structure in CIF format:
```
data_Pm5HoEr4
_space_group_name_H-M_alt 'P 1'
_space_group_IT_number 1
_space_group_name_Hall 'P 1'
_cell_length_a 3.572
_cell_length_b 10.424
_cell_length_c 9.229
_cell_angle_alpha 83.84
_cell_angle_beta 101.16
_cell_angle_gamma 90.00
loop_
_atom_site_label
_atom_site_type_symbol
_atom_site_fract_x
_atom_site_fract_y
_atom_site_fract_z
Er1 Er 0.683 0.086 0.365
Pm1 Pm 0.811 0.597 0.623
Er2 Er 0.317 0.914 0.635
Pm2 Pm 0.858 0.229 0.716
Pm3 Pm 0.142 0.771 0.284
Ho1 Ho 0.500 0.000 0.000
Pm4 Pm 0.500 0.500 0.000
Er3 Er 0.954 0.764 0.909
Pm5 Pm 0.189 0.403 0.377
Er4 Er 0.046 0.236 0.091
```

Properties
Size of the total moment ... 0.00 μB per cell
E_form ... 0.148 eV per atom
Crystal system ... monoclinic
ρ ... 7.72 g/cm³

---

No. 2
Material: NpClF2
Method: DFT, GGA-PBE
State: optimized geometry

The structure in CIF format:
```
data_NpClF2
_space_group_name_H-M_alt 'P 1'
_space_group_IT_number 1
_space_group_name_Hall 'P 1'
_cell_length_a 4.064
_cell_length_b 4.064
_cell_length_c 5.433
_cell_angle_alpha 68.04
_cell_angle_beta 68.04
_cell_angle_gamma 60.00
loop_
_atom_site_label
_atom_site_type_symbol
_atom_site_fract_x
_atom_site_fract_y
_atom_site_fract_z
F1 F 0.296 0.296 0.111
Np1 Np 0.000 0.000 0.000
F2 F 0.704 0.704 0.889
Cl1 Cl 0.500 0.500 0.500
```

Properties
Size of the total moment ... 4.00 μB per cell
Crystal system ... trigonal
E ... -29.605 eV per formula unit
ρ ... 7.36 g/cm³

---

No. 3
Material: Ca6CdSi2
Method: DFT, GGA-PBE
State: optimized geometry

The structure in CIF format:
```
data_Ca6CdSi2
_space_group_name_H-M_alt 'P 1'
_space_group_IT_number 1
_space_group_name_Hall 'P 1'
_cell_length_a 8.905
_cell_length_b 8.905
_cell_length_c 8.905
_cell_angle_alpha 105.17
_cell_angle_beta 112.37
_cell_angle_gamma 110.96
loop_
_atom_site_label
_atom_site_type_symbol
_atom_site_fract_x
_atom_site_fract_y
_atom_site_fract_z
Cd1 Cd 0.000 0.500 0.500
Ca1 Ca 0.308 0.984 0.675
Si1 Si 0.361 0.000 0.361
Ca2 Ca 0.308 0.633 0.325
Si2 Si 0.500 0.389 0.889
Si3 Si 0.639 0.000 0.639
Ca3 Ca 0.904 0.720 0.184
Ca4 Ca 0.692 0.367 0.675
Cd2 Cd 0.000 0.000 0.000
Ca5 Ca 0.796 0.757 0.553
Ca6 Ca 0.536 0.720 0.816
Ca7 Ca 0.096 0.280 0.816
Ca8 Ca 0.204 0.243 0.447
Ca9 Ca 0.692 0.016 0.325
Ca10 Ca 0.204 0.757 0.960
Ca11 Ca 0.464 0.280 0.184
Si4 Si 0.500 0.611 0.111
Ca12 Ca 0.796 0.243 0.040
```

Properties
Size of the total moment ... 1.81 μB per cell
Crystal system ... orthorhombic
E ... -26.809 eV per formula unit
ρ ... 2.51 g/cm³

---

No. 4
Material: ScMnZn
Method: DFT, GGA-PBE
State: optimized geometry

The structure in CIF format:
```
data_ScMnZn
_space_group_name_H-M_alt 'P 1'
_space_group_IT_number 1
_space_group_name_Hall 'P 1'
_cell_length_a 4.404
_cell_length_b 4.404
_cell_length_c 3.093
_cell_angle_alpha 90.00
_cell_angle_beta 90.00
_cell_angle_gamma 120.00
loop_
_atom_site_label
_atom_site_type_symbol
_atom_site_fract_x
_atom_site_fract_y
_atom_site_fract_z
Mn1 Mn 0.000 0.000 0.833
Zn1 Zn 0.333 0.667 0.833
Sc1 Sc 0.667 0.333 0.334
```

Properties
Size of the total moment ... 2.76 μB per cell
E_form ... -0.029 eV per atom
Crystal system ... hexagonal
ρ ... 5.28 g/cm³

---

No. 5
Material: CeTmGaRh
Method: DFT, GGA-PBE
State: optimized geometry

The structure in CIF format:
```
data_CeTmGaRh
_space_group_name_H-M_alt 'P 1'
_space_group_IT_number 1
_space_group_name_Hall 'P 1'
_cell_length_a 4.972
_cell_length_b 4.972
_cell_length_c 4.972
_cell_angle_alpha 60.00
_cell_angle_beta 60.00
_cell_angle_gamma 60.00
loop_
_atom_site_label
_atom_site_type_symbol
_atom_site_fract_x
_atom_site_fract_y
_atom_site_fract_z
Tm1 Tm 0.500 0.500 0.500
Rh1 Rh 0.250 0.250 0.250
Ce1 Ce 0.000 0.000 0.000
Ga1 Ga 0.750 0.750 0.750
```

Properties
Size of the total moment ... 0.18 μB per cell
E_form ... -0.601 eV per atom
Crystal system ... cubic
ρ ... 9.20 g/cm³

---

No. 6
Material: KSrNi
Method: DFT, GGA-PBE
State: optimized geometry

The structure in CIF format:
```
data_KSrNi
_space_group_name_H-M_alt 'P 1'
_space_group_IT_number 1
_space_group_name_Hall 'P 1'
_cell_length_a 5.310
_cell_length_b 5.310
_cell_length_c 5.310
_cell_angle_alpha 60.00
_cell_angle_beta 60.00
_cell_angle_gamma 60.00
loop_
_atom_site_label
_atom_site_type_symbol
_atom_site_fract_x
_atom_site_fract_y
_atom_site_fract_z
Ni1 Ni 0.750 0.750 0.750
Sr1 Sr 0.000 0.000 0.000
K1 K 0.500 0.500 0.500
```

Properties
Size of the total moment ... 0.00 μB per cell
E_form ... 0.465 eV per atom
Crystal system ... cubic
ρ ... 2.91 g/cm³

---

No. 7
Material: Zr2AgHg2
Method: DFT, GGA-PBE
State: optimized geometry

The structure in CIF format:
```
data_Zr2AgHg2
_space_group_name_H-M_alt 'P 1'
_space_group_IT_number 1
_space_group_name_Hall 'P 1'
_cell_length_a 4.027
_cell_length_b 4.027
_cell_length_c 7.930
_cell_angle_alpha 75.29
_cell_angle_beta 75.29
_cell_angle_gamma 90.00
loop_
_atom_site_label
_atom_site_type_symbol
_atom_site_fract_x
_atom_site_fract_y
_atom_site_fract_z
Hg1 Hg 0.750 0.250 0.500
Zr1 Zr 0.592 0.592 0.815
Hg2 Hg 0.250 0.750 0.500
Zr2 Zr 0.408 0.408 0.185
Ag1 Ag 0.000 0.000 0.000
```

Properties
Size of the total moment ... 1.42 μB per cell
E_form ... 0.376 eV per atom
Crystal system ... tetragonal
ρ ... 9.57 g/cm³

---

No. 8
Material: CaAl3Bi
Method: DFT, GGA-PBE
State: optimized geometry

The structure in CIF format:
```
data_CaAl3Bi
_space_group_name_H-M_alt 'P 1'
_space_group_IT_number 1
_space_group_name_Hall 'P 1'
_cell_length_a 5.540
_cell_length_b 5.540
_cell_length_c 5.540
_cell_angle_alpha 90.00
_cell_angle_beta 90.00
_cell_angle_gamma 90.00
loop_
_atom_site_label
_atom_site_type_symbol
_atom_site_fract_x
_atom_site_fract_y
_atom_site_fract_z
Al1 Al 0.000 0.000 0.500
Ca1 Ca 0.500 0.500 0.500
Bi1 Bi 0.000 0.000 0.000
Al2 Al 0.000 0.500 0.000
Al3 Al 0.500 0.000 0.000
```

Properties
Size of the total moment ... 0.00 μB per cell
E_form ... 0.695 eV per atom
Crystal system ... cubic
ρ ... 3.22 g/cm³

---

No. 9
Material: YSbI2Br
Method: DFT, GGA-PBE
State: optimized geometry

The structure in CIF format:
```
data_YSbI2Br
_space_group_name_H-M_alt 'P 1'
_space_group_IT_number 1
_space_group_name_Hall 'P 1'
_cell_length_a 5.690
_cell_length_b 5.690
_cell_length_c 5.769
_cell_angle_alpha 90.00
_cell_angle_beta 90.00
_cell_angle_gamma 90.00
loop_
_atom_site_label
_atom_site_type_symbol
_atom_site_fract_x
_atom_site_fract_y
_atom_site_fract_z
I1 I 0.000 0.500 0.000
Y1 Y 0.500 0.500 0.500
I2 I 0.500 0.000 0.000
Sb1 Sb 0.000 0.000 0.500
Br1 Br 0.000 0.000 0.000
```

Properties
Size of the total moment ... 0.00 μB per cell
Crystal system ... tetragonal
E ... -13.441 eV per formula unit
ρ ... 4.84 g/cm³

---

No. 10
Material: TlBi2Se3
Method: DFT, GGA-PBE
State: optimized geometry

The structure in CIF format:
```
data_TlBi2Se3
_space_group_name_H-M_alt 'P 1'
_space_group_IT_number 1
_space_group_name_Hall 'P 1'
_cell_length_a 4.212
_cell_length_b 7.469
_cell_length_c 12.978
_cell_angle_alpha 64.61
_cell_angle_beta 90.00
_cell_angle_gamma 90.00
loop_
_atom_site_label
_atom_site_type_symbol
_atom_site_fract_x
_atom_site_fract_y
_atom_site_fract_z
Se1 Se 0.750 0.990 0.139
Bi1 Bi 0.750 0.752 0.001
Se2 Se 0.250 0.207 0.507
Bi2 Bi 0.250 0.248 0.999
Bi3 Bi 0.250 0.748 0.651
Se3 Se 0.750 0.544 0.849
Se4 Se 0.250 0.456 0.151
Bi4 Bi 0.750 0.252 0.349
Tl1 Tl 0.750 0.308 0.671
Tl2 Tl 0.250 0.692 0.329
Se5 Se 0.750 0.793 0.493
Se6 Se 0.250 0.010 0.861
```

Properties
Size of the total moment ... 0.00 μB per cell
Crystal system ... monoclinic
E ... -22.574 eV per formula unit
ρ ... 7.74 g/cm³

---

No. 11
Material: Mg4TlSn
Method: DFT, GGA-PBE
State: optimized geometry

The structure in CIF format:
```
data_Mg4TlSn
_space_group_name_H-M_alt 'P 1'
_space_group_IT_number 1
_space_group_name_Hall 'P 1'
_cell_length_a 5.942
_cell_length_b 5.942
_cell_length_c 5.942
_cell_angle_alpha 60.00
_cell_angle_beta 60.00
_cell_angle_gamma 60.00
loop_
_atom_site_label
_atom_site_type_symbol
_atom_site_fract_x
_atom_site_fract_y
_atom_site_fract_z
Sn1 Sn 0.000 0.000 0.000
Mg1 Mg 0.125 0.625 0.625
Tl1 Tl 0.250 0.250 0.250
Mg2 Mg 0.625 0.125 0.625
Mg3 Mg 0.625 0.625 0.625
Mg4 Mg 0.625 0.625 0.125
```

Properties
Size of the total moment ... 0.00 μB per cell
E_form ... 0.044 eV per atom
Crystal system ... cubic
ρ ... 4.70 g/cm³

---

No. 12
Material: BaTbPuN3
Method: DFT, GGA-PBE
State: optimized geometry

The structure in CIF format:
```
data_BaTbPuN3
_space_group_name_H-M_alt 'P 1'
_space_group_IT_number 1
_space_group_name_Hall 'P 1'
_cell_length_a 3.667
_cell_length_b 10.327
_cell_length_c 6.787
_cell_angle_alpha 109.84
_cell_angle_beta 90.00
_cell_angle_gamma 90.00
loop_
_atom_site_label
_atom_site_type_symbol
_atom_site_fract_x
_atom_site_fract_y
_atom_site_fract_z
N1 N 0.750 0.491 0.207
Pu1 Pu 0.250 0.068 0.611
Pu2 Pu 0.750 0.932 0.389
N2 N 0.250 0.509 0.793
Ba1 Ba 0.750 0.683 0.696
N3 N 0.750 0.787 0.125
N4 N 0.750 0.167 0.516
Ba2 Ba 0.250 0.317 0.304
N5 N 0.250 0.833 0.484
Tb1 Tb 0.250 0.630 0.157
Tb2 Tb 0.750 0.370 0.843
N6 N 0.250 0.213 0.875
```

Properties
Size of the total moment ... 2.12 μB per cell
Crystal system ... monoclinic
E ... -51.059 eV per formula unit
ρ ... 8.00 g/cm³

---

No. 13
Material: LiB2Ru
Method: DFT, GGA-PBE
State: optimized geometry

The structure in CIF format:
```
data_LiB2Ru
_space_group_name_H-M_alt 'P 1'
_space_group_IT_number 1
_space_group_name_Hall 'P 1'
_cell_length_a 3.694
_cell_length_b 3.694
_cell_length_c 3.694
_cell_angle_alpha 60.00
_cell_angle_beta 60.00
_cell_angle_gamma 60.00
loop_
_atom_site_label
_atom_site_type_symbol
_atom_site_fract_x
_atom_site_fract_y
_atom_site_fract_z
B1 B 0.250 0.250 0.250
Li1 Li 0.000 0.000 0.000
Ru1 Ru 0.500 0.500 0.500
B2 B 0.750 0.750 0.750
```

Properties
Size of the total moment ... 0.00 μB per cell
E_form ... 0.253 eV per atom
Crystal system ... cubic
ρ ... 6.04 g/cm³

---

No. 14
Material: Tl2CrCl
Method: DFT, GGA-PBE
State: optimized geometry

The structure in CIF format:
```
data_Tl2CrCl
_space_group_name_H-M_alt 'P 1'
_space_group_IT_number 1
_space_group_name_Hall 'P 1'
_cell_length_a 3.434
_cell_length_b 3.434
_cell_length_c 10.029
_cell_angle_alpha 90.00
_cell_angle_beta 90.00
_cell_angle_gamma 116.16
loop_
_atom_site_label
_atom_site_type_symbol
_atom_site_fract_x
_atom_site_fract_y
_atom_site_fract_z
Cl1 Cl 0.000 0.000 0.573
Tl1 Tl 0.500 0.500 0.240
Cr1 Cr 0.500 0.500 0.728
Tl2 Tl 0.000 0.000 0.959
```

Properties
Size of the total moment ... 4.04 μB per cell
Crystal system ... orthorhombic
E ... -16.313 eV per formula unit
ρ ... 7.76 g/cm³

---

No. 15
Material: Sr3Mg2
Method: DFT, GGA-PBE
State: optimized geometry

The structure in CIF format:
```
data_Sr3Mg2
_space_group_name_H-M_alt 'P 1'
_space_group_IT_number 1
_space_group_name_Hall 'P 1'
_cell_length_a 4.638
_cell_length_b 9.525
_cell_length_c 9.525
_cell_angle_alpha 90.00
_cell_angle_beta 90.00
_cell_angle_gamma 90.00
loop_
_atom_site_label
_atom_site_type_symbol
_atom_site_fract_x
_atom_site_fract_y
_atom_site_fract_z
Sr1 Sr 0.500 0.669 0.831
Sr2 Sr 0.000 0.000 0.000
Sr3 Sr 0.500 0.831 0.331
Sr4 Sr 0.500 0.169 0.669
Mg1 Mg 0.000 0.380 0.880
Mg2 Mg 0.000 0.120 0.380
Mg3 Mg 0.000 0.880 0.620
Sr5 Sr 0.000 0.500 0.500
Sr6 Sr 0.500 0.331 0.169
Mg4 Mg 0.000 0.620 0.120
```

Properties
Size of the total moment ... 0.00 μB per cell
E_form ... -0.024 eV per atom
Crystal system ... tetragonal
ρ ... 2.46 g/cm³

---

No. 16
Material: CaPd3C
Method: DFT, GGA-PBE
State: optimized geometry

The structure in CIF format:
```
data_CaPd3C
_space_group_name_H-M_alt 'P 1'
_space_group_IT_number 1
_space_group_name_Hall 'P 1'
_cell_length_a 4.282
_cell_length_b 4.282
_cell_length_c 4.282
_cell_angle_alpha 90.00
_cell_angle_beta 90.00
_cell_angle_gamma 90.00
loop_
_atom_site_label
_atom_site_type_symbol
_atom_site_fract_x
_atom_site_fract_y
_atom_site_fract_z
Pd1 Pd 0.000 0.500 0.000
Pd2 Pd 0.500 0.000 0.000
Pd3 Pd 0.000 0.000 0.500
C1 C 0.000 0.000 0.000
Ca1 Ca 0.500 0.500 0.500
```

Properties
Size of the total moment ... 0.00 μB per cell
E_form ... -0.182 eV per atom
Crystal system ... cubic
ρ ... 7.86 g/cm³

---

No. 17
Material: Tm2Sc3Co2
Method: DFT, GGA-PBE
State: optimized geometry

The structure in CIF format:
```
data_Tm2Sc3Co2
_space_group_name_H-M_alt 'P 1'
_space_group_IT_number 1
_space_group_name_Hall 'P 1'
_cell_length_a 3.517
_cell_length_b 9.025
_cell_length_c 5.909
_cell_angle_alpha 61.01
_cell_angle_beta 72.65
_cell_angle_gamma 89.94
loop_
_atom_site_label
_atom_site_type_symbol
_atom_site_fract_x
_atom_site_fract_y
_atom_site_fract_z
Tm1 Tm 0.406 0.609 0.187
Sc1 Sc 0.000 0.000 0.000
Co1 Co 0.369 0.087 0.263
Sc2 Sc 0.801 0.227 0.399
Tm2 Tm 0.594 0.391 0.813
Sc3 Sc 0.199 0.773 0.601
Co2 Co 0.631 0.913 0.737
```

Properties
Size of the total moment ... 0.00 μB per cell
E_form ... -0.074 eV per atom
Crystal system ... monoclinic
ρ ... 6.36 g/cm³

---

No. 18
Material: Ca3PdAu3
Method: DFT, GGA-PBE
State: optimized geometry

The structure in CIF format:
```
data_Ca3PdAu3
_space_group_name_H-M_alt 'P 1'
_space_group_IT_number 1
_space_group_name_Hall 'P 1'
_cell_length_a 4.172
_cell_length_b 5.840
_cell_length_c 15.077
_cell_angle_alpha 83.37
_cell_angle_beta 82.05
_cell_angle_gamma 69.07
loop_
_atom_site_label
_atom_site_type_symbol
_atom_site_fract_x
_atom_site_fract_y
_atom_site_fract_z
Ca1 Ca 0.608 0.707 0.077
Au1 Au 0.135 0.269 0.461
Ca2 Ca 0.473 0.666 0.389
Au2 Au 0.988 0.796 0.227
Ca3 Ca 0.392 0.293 0.923
Au3 Au 0.012 0.204 0.773
Pd1 Pd 0.779 0.069 0.373
Au4 Au 0.886 0.152 0.077
Au5 Au 0.865 0.731 0.539
Au6 Au 0.114 0.848 0.923
Ca4 Ca 0.527 0.334 0.611
Ca5 Ca 0.738 0.761 0.762
Pd2 Pd 0.221 0.931 0.627
Ca6 Ca 0.262 0.239 0.238
```

Properties
Size of the total moment ... 0.00 μB per cell
E_form ... -0.744 eV per atom
Crystal system ... monoclinic
ρ ... 8.01 g/cm³

---

No. 19
Material: ZrZnRh2
Method: DFT, GGA-PBE
State: optimized geometry

The structure in CIF format:
```
data_ZrZnRh2
_space_group_name_H-M_alt 'P 1'
_space_group_IT_number 1
_space_group_name_Hall 'P 1'
_cell_length_a 4.506
_cell_length_b 4.506
_cell_length_c 4.506
_cell_angle_alpha 60.00
_cell_angle_beta 60.00
_cell_angle_gamma 60.00
loop_
_atom_site_label
_atom_site_type_symbol
_atom_site_fract_x
_atom_site_fract_y
_atom_site_fract_z
Zn1 Zn 0.500 0.500 0.500
Rh1 Rh 0.000 0.000 0.000
Zr1 Zr 0.750 0.750 0.750
Rh2 Rh 0.250 0.250 0.250
```

Properties
Size of the total moment ... 0.00 μB per cell
E_form ... -0.316 eV per atom
Crystal system ... cubic
ρ ... 9.30 g/cm³